1.
The following is a DFT calculation (SCAN) of a crystal of P2PdWCl relaxed with PBEsol.

Cell: 4.6622 4.6622 4.5977 Å, 90.00 90.00 90.00°
Last column: nearest neighbours and their distance in Å.
Positions (direct):
1 P 0.0000 0.5000 0.0000  2 W 2.33
2 P 0.5000 0.0000 0.0000  2 W 2.33
3 Pd 0.5000 0.5000 0.5000  8 P 3.27, 4 Cl 3.30
4 W 0.0000 0.0000 0.0000  2 Cl 2.30, 4 P 2.33
5 Cl 0.0000 0.0000 0.5000  2 W 2.30

Results
The mass density is 6.44 g/cm³. The value obtained for the total magnetic moment is 0.0 μB/f.u. For the raw total energy, the calculation gives -128.17 eV per cell.

=====

2.
The following is a DFT calculation (SCAN) of a crystal of LiOsSe2N relaxed with PBEsol.

Cell: 3.2495 4.5792 4.5792 Å, 90.00 90.00 90.00°
Last column: nearest neighbours and their distance in Å.
Positions (direct):
1 Li 0.0000 0.0000 0.0000  2 N 1.62
2 Os 0.5000 0.5000 0.5000  8 Se 2.81
3 Se 0.0000 0.0000 0.5000  2 Li 2.29
4 Se 0.0000 0.5000 0.0000  2 Li 2.29
5 N 0.5000 0.0000 0.0000  2 Li 1.62

Results
The mass density is 8.99 g/cm³. The value obtained for the total magnetic moment is 1.6 μB/f.u. For the raw total energy, the calculation gives -116.60 eV per cell.

=====

3.
The following is a DFT calculation (SCAN) of a crystal of Hf2InTe relaxed with PBEsol.

Cell: 4.9427 4.9427 4.9427 Å, 60.00 60.00 60.00°
Last column: nearest neighbours and their distance in Å.
Positions (direct):
1 Te 0.5000 0.5000 0.5000  8 Hf 3.03
2 Hf 0.2500 0.2500 0.2500  4 In 3.03, 4 Te 3.03
3 Hf 0.7500 0.7500 0.7500  4 Te 3.03, 4 In 3.03
4 In 0.0000 0.0000 0.0000  8 Hf 3.03

Results
The mass density is 11.66 g/cm³. The value obtained for the total magnetic moment is 0.0 μB/f.u. For the raw total energy, the calculation gives -196.40 eV per cell.

=====

4.
The following is a DFT calculation (SCAN) of a crystal of HfCuB3 relaxed with PBEsol.

Cell: 3.7927 3.7927 3.7927 Å, 90.00 90.00 90.00°
Last column: nearest neighbours and their distance in Å.
Positions (direct):
1 B 0.0000 0.5000 0.0000  2 Cu 1.90
2 B 0.0000 0.0000 0.5000  2 Cu 1.90
3 B 0.5000 0.0000 0.0000  2 Cu 1.90
4 Hf 0.5000 0.5000 0.5000  12 B 2.68
5 Cu 0.0000 0.0000 0.0000  6 B 1.90

Results
The mass density is 8.35 g/cm³. The value obtained for the total magnetic moment is 0.0 μB/f.u. The value obtained for the formation energy is 0.95 eV/atom.

=====

5.
The following is a DFT calculation (SCAN) of a crystal of HfCu3Si relaxed with PBEsol.

Cell: 4.7242 4.7242 4.7242 Å, 90.00 90.00 90.00°
Last column: nearest neighbours and their distance in Å.
Positions (direct):
1 Si 0.5000 0.5000 0.5000  12 Cu 3.34
2 Hf 0.0000 0.0000 0.0000  6 Cu 2.36
3 Cu 0.0000 0.5000 0.0000  2 Hf 2.36
4 Cu 0.0000 0.0000 0.5000  2 Hf 2.36
5 Cu 0.5000 0.0000 0.0000  2 Hf 2.36

Results
The mass density is 6.26 g/cm³. The value obtained for the total magnetic moment is 0.0 μB/f.u. For the raw total energy, the calculation gives -109.75 eV per cell.

=====

6.
The following is a DFT calculation (SCAN) of a crystal of SbWAu2 relaxed with PBEsol.

Cell: 2.8892 5.0534 5.0534 Å, 90.00 90.00 90.00°
Last column: nearest neighbours and their distance in Å.
Positions (direct):
1 Au 0.0000 0.0000 0.5000  2 Au 2.89, 4 W 2.91, 4 Sb 2.91
2 Au 0.0000 0.5000 0.0000  2 Au 2.89, 4 W 2.91, 4 Sb 2.91
3 Sb 0.5000 0.5000 0.5000  2 Sb 2.89, 8 Au 2.91
4 W 0.5000 0.0000 0.0000  2 W 2.89, 8 Au 2.91

Results
The mass density is 15.74 g/cm³. The value obtained for the total magnetic moment is 0.9 μB/f.u. For the raw total energy, the calculation gives -242.60 eV per cell.

=====

7.
The following is a DFT calculation (SCAN) of a crystal of KSc2Be relaxed with PBEsol.

Cell: 3.1645 4.2832 8.7299 Å, 104.20 100.44 90.00°
Last column: nearest neighbours and their distance in Å.
Positions (direct):
1 Sc 0.9853 0.9853 0.9705  4 Be 2.66
2 Sc 0.8601 0.3601 0.7201  2 Be 2.58
3 Be 0.4830 0.4830 0.9660  6 Sc 2.58-2.66
4 K 0.1717 0.6717 0.3434  2 K 3.16, 2 Be 3.51

Results
The mass density is 2.03 g/cm³. The value obtained for the total magnetic moment is 0.3 μB/f.u. The value obtained for the formation energy is 0.51 eV/atom.

=====

8.
The following is a DFT calculation (SCAN) of a crystal of LiPbCl relaxed with PBEsol.

Cell: 5.0330 5.0330 5.0330 Å, 60.00 60.00 60.00°
Last column: nearest neighbours and their distance in Å.
Positions (direct):
1 Pb 0.2500 0.2500 0.2500  4 Cl 3.08, 4 Li 3.08
2 Cl 0.0000 0.0000 0.0000  4 Pb 3.08
3 Li 0.5000 0.5000 0.5000  4 Pb 3.08

Results
The mass density is 4.60 g/cm³. The value obtained for the total magnetic moment is 0.0 μB/f.u. For the raw total energy, the calculation gives -86.43 eV per cell.

=====

9.
The following is a DFT calculation (SCAN) of a crystal of SrTc4Sb relaxed with PBEsol.

Cell: 5.3089 5.3089 5.3089 Å, 60.00 60.00 60.00°
Last column: nearest neighbours and their distance in Å.
Positions (direct):
1 Sb 0.7500 0.7500 0.7500  12 Tc 3.11, 4 Sr 3.25
2 Sr 0.0000 0.0000 0.0000  12 Tc 3.12, 4 Sb 3.25
3 Tc 0.3768 0.3768 0.3768  6 Tc 2.62-2.69
4 Tc 0.3768 0.3768 0.8696  6 Tc 2.62-2.69
5 Tc 0.8696 0.3768 0.3768  6 Tc 2.62-2.69
6 Tc 0.3768 0.8696 0.3768  6 Tc 2.62-2.69

Results
The mass density is 9.44 g/cm³. The value obtained for the total magnetic moment is 0.0 μB/f.u. For the raw total energy, the calculation gives -196.95 eV per cell.

=====

10.
The following is a DFT calculation (SCAN) of a crystal of NbBi2Br2 relaxed with PBEsol.

Cell: 4.0596 4.0596 10.6220 Å, 101.02 101.02 90.00°
Last column: nearest neighbours and their distance in Å.
Positions (direct):
1 Nb 0.0000 0.0000 0.0000  8 Br 3.27
2 Bi 0.2500 0.7500 0.5000  4 Bi 2.87
3 Bi 0.7500 0.2500 0.5000  4 Bi 2.87
4 Br 0.4236 0.4236 0.8471  1 Br 3.13, 4 Nb 3.27
5 Br 0.5764 0.5764 0.1529  1 Br 3.13, 4 Nb 3.27

Results
The mass density is 6.61 g/cm³. The value obtained for the total magnetic moment is 3.1 μB/f.u. For the raw total energy, the calculation gives -226.79 eV per cell.

=====

11.
The following is a DFT calculation (SCAN) of a crystal of LiAgAu2 relaxed with PBEsol.

Cell: 4.5060 4.5060 4.5060 Å, 60.00 60.00 60.00°
Last column: nearest neighbours and their distance in Å.
Positions (direct):
1 Au 0.0000 0.0000 0.0000  4 Li 2.76, 4 Au 2.76
2 Au 0.7500 0.7500 0.7500  4 Au 2.76, 4 Ag 2.76
3 Ag 0.5000 0.5000 0.5000  4 Au 2.76, 4 Li 2.76
4 Li 0.2500 0.2500 0.2500  4 Au 2.76, 4 Ag 2.76

Results
The mass density is 13.06 g/cm³. The value obtained for the total magnetic moment is 0.0 μB/f.u. The value obtained for the formation energy is -0.31 eV/atom. For the energy above the lowest structure with this stoichiometry, the calculation gives 62.6 meV/atom.

=====

12.
The following is a DFT calculation (SCAN) of a crystal of NaTa3Tl relaxed with PBEsol.

Cell: 5.1253 5.1253 5.1253 Å, 90.00 90.00 90.00°
Last column: nearest neighbours and their distance in Å.
Positions (direct):
1 Na 0.5000 0.5000 0.5000  12 Ta 3.62
2 Tl 0.0000 0.0000 0.0000  6 Ta 2.56
3 Ta 0.0000 0.5000 0.0000  2 Tl 2.56
4 Ta 0.0000 0.0000 0.5000  2 Tl 2.56
5 Ta 0.5000 0.0000 0.0000  2 Tl 2.56

Results
The mass density is 9.50 g/cm³. The value obtained for the total magnetic moment is 1.0 μB/f.u. The value obtained for the formation energy is 2.43 eV/atom.

=====

Q: The highest total magnetic moment belongs to which entry?
A: NbBi2Br2